Compound: InHgCl2
Source: Alexandria
Functional: PBE-GGA
Structure: optimized geometry

## Properties
Energy relative to the lowest polymorph listed for this composition (meV per atom): 155.1
Symmetry: P4mm
Formation energy (no corrections) (meV per atom): -489

```
data_InHgCl2
_symmetry_space_group_name_H-M 'P 1'
_symmetry_Int_Tables_number 1
_cell_length_a 4.4056
_cell_length_b 4.4056
_cell_length_c 6.1944
_cell_angle_alpha 90.00
_cell_angle_beta 90.00
_cell_angle_gamma 90.00
loop_
_symmetry_equiv_pos_as_xyz
'x,y,z'
loop_
_atom_site_label
_atom_site_fract_x
_atom_site_fract_y
_atom_site_fract_z
In1 0.0000 0.0000 0.0000
Hg1 0.5000 0.5000 0.4990
Cl1 0.0000 0.0000 0.4995
Cl2 0.5000 0.5000 0.9988
```

***

Compound: InHgCl2
Source: Alexandria
Functional: PBE-GGA
Structure: optimized geometry

## Properties
Energy relative to the lowest polymorph listed for this composition (meV per atom): 74.8
Symmetry: C2/m
Formation energy (no corrections) (meV per atom): -569

```
data_InHgCl2
_symmetry_space_group_name_H-M 'P 1'
_symmetry_Int_Tables_number 1
_cell_length_a 4.2766
_cell_length_b 4.2766
_cell_length_c 9.7151
_cell_angle_alpha 101.22
_cell_angle_beta 101.22
_cell_angle_gamma 57.06
loop_
_symmetry_equiv_pos_as_xyz
'x,y,z'
loop_
_atom_site_label
_atom_site_fract_x
_atom_site_fract_y
_atom_site_fract_z
In1 0.0000 0.0000 0.0000
Hg1 0.5000 0.5000 0.5000
Cl1 0.2801 0.2801 0.8520
Cl2 0.7199 0.7199 0.1480
```

***

Compound: InHgCl2
Source: Alexandria
Functional: PBE-GGA
Structure: optimized geometry

## Properties
Energy relative to the lowest polymorph listed for this composition (meV per atom): 12.2
Symmetry: I-42d
Formation energy (no corrections) (meV per atom): -632

```
data_InHgCl2
_symmetry_space_group_name_H-M 'P 1'
_symmetry_Int_Tables_number 1
_cell_length_a 8.4757
_cell_length_b 8.4757
_cell_length_c 8.4757
_cell_angle_alpha 120.57
_cell_angle_beta 120.57
_cell_angle_gamma 89.01
loop_
_symmetry_equiv_pos_as_xyz
'x,y,z'
loop_
_atom_site_label
_atom_site_fract_x
_atom_site_fract_y
_atom_site_fract_z
In1 0.0000 0.0000 0.0000
In2 0.7500 0.2500 0.5000
Hg1 0.2500 0.7500 0.5000
Hg2 0.5000 0.5000 0.0000
Cl1 0.3750 0.1181 0.2431
Cl2 0.8681 0.6250 0.7431
Cl3 0.8750 0.1319 0.7569
Cl4 0.8819 0.1250 0.2569
```